# Ba2GaNi | the Alexandria database | PBE | relaxed
# Space-group type: Cm
# Formation enthalpy at 0 K in eV per atom: -0.135
# DOS(E_F) in states/eV/cell: 4.33
data_Ba2GaNi
_cell_length_a 4.3279
_cell_length_b 4.3271
_cell_length_c 9.0194
_cell_angle_alpha 90.07
_cell_angle_beta 90.00
_cell_angle_gamma 120.01
_symmetry_space_group_name_H-M 'P 1'
_symmetry_Int_Tables_number 1
loop_
_symmetry_equiv_pos_as_xyz
'x,y,z'
loop_
_atom_site_label
_atom_site_fract_x
_atom_site_fract_y
_atom_site_fract_z
Ba1 0.7921 0.5843 0.6298
Ni1 0.1249 0.2498 0.4150
Ba2 0.1247 0.2494 0.0907
Ga1 0.4582 0.9165 0.3646



# V2Ga2Bi | the Alexandria database | PBE | relaxed
# Space-group type: P4/mbm
# Formation enthalpy at 0 K in eV per atom: 0.254
# DOS(E_F) in states/eV/cell: 8.88
data_V2Ga2Bi
_cell_length_a 7.6681
_cell_length_b 7.6681
_cell_length_c 3.1595
_cell_angle_alpha 90.00
_cell_angle_beta 90.00
_cell_angle_gamma 90.00
_symmetry_space_group_name_H-M 'P 1'
_symmetry_Int_Tables_number 1
loop_
_symmetry_equiv_pos_as_xyz
'x,y,z'
loop_
_atom_site_label
_atom_site_fract_x
_atom_site_fract_y
_atom_site_fract_z
V1 0.8279 0.3279 0.5000
Bi1 0.5000 0.5000 0.0000
Ga1 0.8792 0.6208 0.0000
Ga2 0.6208 0.1208 0.0000
V2 0.1721 0.6721 0.5000
V3 0.6721 0.8279 0.5000
Bi2 0.0000 0.0000 0.0000
Ga3 0.3792 0.8792 0.0000
Ga4 0.1208 0.3792 0.0000
V4 0.3279 0.1721 0.5000



> Look up the DOS(E_F) of the first one.

4.33 states/eV/cell



> Look up the DOS(E_F) of the first one.

4.33 states/eV/cell



> Look up the formation enthalpy at 0 K of the second one.

0.254 eV per atom



> Number 1 is which compound?

Ba2GaNi